! HfNi2W | Alexandria via LeMat-Bulk | PBE | relaxed; values from VASP
! M_tot in μB per formula unit: 0.0
! Electronic total energy in eV per atom: -8.6304
! Excess energy over the best structure of this formula in the dataset in eV per atom: 0.000
! ΔH_f (0 K) in eV/f.u.: -0.1
! DOS at the Fermi energy in states/eV/atom: 1.26
&SYSTEM
  ibrav = 0, nat = 4, ntyp = 3
/
ATOMIC_SPECIES
Hf 178.49 Hf.upf
Ni 58.69 Ni.upf
W 183.84 W.upf
CELL_PARAMETERS angstrom
0.000 3.086 3.086
3.086 0.000 3.086
3.086 3.086 0.000
ATOMIC_POSITIONS angstrom
Hf 0.000 0.000 0.000
Ni 1.543 1.543 1.543
Ni 4.629 4.629 4.629
W 3.086 3.086 3.086